VASP calculation (GGA+U) on a geometry-optimized Cr2OsF2 structure.

Values from the calculation:
The total DFT energy (no corrections) is -30.37 eV/cell. The value obtained for the density of states at the Fermi level is 1.00 states/eV/cell.

Unit cell a=4.9734 b=4.9734 c=4.9734 alpha=128.73 beta=128.73 gamma=75.44
Element x y z (fractional)
Cr: 0.2500 0.7500 0.5000
Cr: 0.7500 0.2500 0.5000
Os: 0.0000 0.0000 0.0000
F: 0.3447 0.3447 0.0000
F: 0.6553 0.6553 0.0000